Ba2ZrCuO5: optimized geometry, PBE-GGA.

abc: 3.4100 8.1203 10.7711
angles: 90.00 90.00 102.12
Atoms (fractional coordinates):
1 Ba 0.8775 0.7550 0.8074
2 Ba 0.1166 0.2332 0.6954
3 Ba 0.1225 0.2450 0.3074
4 Ba 0.8834 0.7668 0.1954
5 Zr 0.7872 0.5744 0.5072
6 Zr 0.2128 0.4256 0.0072
7 Cu 0.5438 0.0875 0.9648
8 Cu 0.4562 0.9125 0.4648
9 O 0.3390 0.6781 0.0044
10 O 0.7016 0.4033 0.8790
11 O 0.5053 0.0106 0.7988
12 O 0.2904 0.5808 0.6342
13 O 0.9325 0.8649 0.5328
14 O 0.6610 0.3219 0.5044
15 O 0.2984 0.5967 0.3790
16 O 0.4947 0.9894 0.2988
17 O 0.7096 0.4192 0.1342
18 O 0.0675 0.1351 0.0328

Properties
The symmetry is Cmc2_1. The value obtained for the formation energy (no corrections) is -2.358 eV per atom.

---

Ba2ZrCu2O6: optimized geometry, PBE-GGA.

abc: 6.0255 6.0255 6.5521
angles: 62.62 62.62 60.00
Atoms (fractional coordinates):
1 Ba 0.7799 0.7799 0.6603
2 Ba 0.2201 0.2201 0.3397
3 Zr 0.0000 0.0000 0.0000
4 Cu 0.4198 0.4198 0.7407
5 Cu 0.5802 0.5802 0.2593
6 O 0.7628 0.7628 0.2450
7 O 0.2295 0.7628 0.2450
8 O 0.7628 0.2295 0.2450
9 O 0.2372 0.7705 0.7550
10 O 0.7705 0.2372 0.7550
11 O 0.2372 0.2372 0.7550

Properties
The symmetry is R-3m. The value obtained for the formation energy (no corrections) is -2.038 eV per atom.

---

BaZr4Cu3O12: optimized geometry, PBE-GGA.

abc: 6.8768 6.8768 6.8768
angles: 109.47 109.47 109.47
Atoms (fractional coordinates):
1 Ba 0.0000 0.0000 0.0000
2 Zr 0.5000 0.0000 0.0000
3 Zr 0.5000 0.5000 0.5000
4 Zr 0.0000 0.5000 0.0000
5 Zr 0.0000 0.0000 0.5000
6 Cu 0.0000 0.5000 0.5000
7 Cu 0.5000 0.5000 0.0000
8 Cu 0.5000 0.0000 0.5000
9 O 0.3122 0.8291 0.1413
10 O 0.6878 0.1709 0.8587
11 O 0.6878 0.8291 0.5169
12 O 0.8587 0.6878 0.1709
13 O 0.8291 0.1413 0.3122
14 O 0.1709 0.4831 0.3122
15 O 0.4831 0.3122 0.1709
16 O 0.1709 0.8587 0.6878
17 O 0.3122 0.1709 0.4831
18 O 0.1413 0.3122 0.8291
19 O 0.8291 0.5169 0.6878
20 O 0.5169 0.6878 0.8291

Properties
The symmetry is Im-3. The value obtained for the formation energy (no corrections) is -2.375 eV per atom.

---

BaCuOs: optimized geometry, PBE-GGA.

abc: 4.2164 4.2164 4.8601
angles: 90.00 90.00 120.00
Atoms (fractional coordinates):
1 Ba 0.0000 0.0000 0.9999
2 Cu 0.6667 0.3333 0.4999
3 Os 0.3333 0.6667 0.5002

Properties
Its calculated formation energy is 0.694 eV per atom. The symmetry is P-6m2. As for the distance to the lowest polymorph of the same formula: 0.000 eV per formula unit.

---

BaCuOs: optimized geometry, PBE-GGA.

abc: 4.7312 4.7312 4.7312
angles: 60.00 60.00 60.00
Atoms (fractional coordinates):
1 Ba 0.5000 0.5000 0.5000
2 Cu 0.7500 0.7500 0.7500
3 Os 0.0000 0.0000 0.0000

Properties
Its calculated formation energy is 1.276 eV per atom. The symmetry is F-43m. As for the distance to the lowest polymorph of the same formula: 1.747 eV per formula unit.

---

BaCuOs4: optimized geometry, PBE-GGA.

abc: 5.3991 5.3991 5.3991
angles: 60.00 60.00 60.00
Atoms (fractional coordinates):
1 Ba 0.7500 0.7500 0.7500
2 Cu 0.0000 0.0000 0.0000
3 Os 0.8779 0.3740 0.3740
4 Os 0.3740 0.3740 0.8779
5 Os 0.3740 0.8779 0.3740
6 Os 0.3740 0.3740 0.3740

Properties
Its calculated formation energy is 1.017 eV per atom. The symmetry is F-43m.